No. 1
Density functional theory data (PBE-GGA) for an optimized crystal structure of Sr2CdReB.

abc: 5.647 5.647 4.290
angles: 90.00 90.00 90.00
Fractional coordinates of all 5 atoms:
1 Sr 0.000 0.500 0.000
2 Sr 0.500 0.000 0.000
3 Cd 0.000 0.000 0.500
4 Re 0.500 0.500 0.500
5 B 0.000 0.000 0.000

ΔE_f, eV per formula unit: 5.5
Space group: No. 123
Magnetization, Bohr magnetons per cell: 3.452


No. 2
Density functional theory data (PBE-GGA) for an optimized crystal structure of VCdReB2.

abc: 4.095 4.095 4.629
angles: 90.00 90.00 90.00
Fractional coordinates of all 5 atoms:
1 V 0.000 0.000 0.000
2 Cd 0.500 0.500 0.500
3 Re 0.000 0.000 0.500
4 B 0.000 0.500 0.000
5 B 0.500 0.000 0.000

ΔE_f, eV per formula unit: 7.6
Space group: No. 123
Magnetization, Bohr magnetons per cell: 0.000


No. 3
Density functional theory data (PBE-GGA) for an optimized crystal structure of CdBRh2.

abc: 3.060 3.060 20.855
angles: 90.00 90.00 120.00
Fractional coordinates of all 12 atoms:
1 Cd 0.000 0.000 0.000
2 Cd 0.333 0.667 0.667
3 Cd 0.667 0.333 0.333
4 B 0.000 0.000 0.500
5 B 0.333 0.667 0.167
6 B 0.667 0.333 0.833
7 Rh 0.000 0.000 0.223
8 Rh 0.000 0.000 0.777
9 Rh 0.333 0.667 0.443
10 Rh 0.333 0.667 0.890
11 Rh 0.667 0.333 0.110
12 Rh 0.667 0.333 0.557

ΔE_f, eV per formula unit: -1.1
Space group: No. 166
Magnetization, Bohr magnetons per cell: 0.000
Offset from the most stable computed form, meV per atom: 29


What is the magnetization in the first record?
3.452 Bohr magnetons per cell


Which value of magnetization does entry 3 give?
0.000 Bohr magnetons per cell